# 1
Here is a relaxed structure of TlHgCl2 from Alexandria. Energies are from GGA-PBE.

formation energy (no corrections): -0.302 eV per atom
calculated density: 7.46 g cm⁻³
calculated total energy: -1.8918 eV per atom

a = 5.3099 Å, b = 5.3099 Å, c = 5.3099 Å
α = 60.00°, β = 60.00°, γ = 60.00°
With the nearest neighbours (Å) after each atom.
Fractional positions:
Tl: 0.7500 0.7500 0.7500  4 Cl 3.25, 4 Hg 3.25
Hg: 0.5000 0.5000 0.5000  4 Tl 3.25, 4 Cl 3.25
Cl: 0.0000 0.0000 0.0000  4 Cl 3.25, 4 Tl 3.25
Cl: 0.2500 0.2500 0.2500  4 Hg 3.25, 4 Cl 3.25

---

# 2
Here is a relaxed structure of TbZn12Ag6 from Alexandria. Energies are from GGA-PBE.

calculated density: 7.76 g cm⁻³
calculated total energy: -1.9531 eV per atom

a = 7.2877 Å, b = 7.2877 Å, c = 7.2877 Å
α = 104.69°, β = 104.69°, γ = 104.69°
With the nearest neighbours (Å) after each atom.
Fractional positions:
Tb: 0.0000 0.0000 0.0000  6 Zn 3.04
Zn: 0.8919 0.1081 0.5000  3 Zn 2.49-2.74, 4 Ag 2.61-2.74
Zn: 0.8741 0.6286 0.6286  4 Ag 2.70-2.82, 4 Zn 2.74-2.83
Zn: 0.6286 0.6286 0.8741  4 Ag 2.70-2.82, 4 Zn 2.74-2.83
Zn: 0.3714 0.1259 0.3714  4 Ag 2.70-2.82, 4 Zn 2.74-2.83
Zn: 0.3714 0.3714 0.1259  4 Ag 2.70-2.82, 4 Zn 2.74-2.83
Zn: 0.1259 0.3714 0.3714  4 Ag 2.70-2.82, 4 Zn 2.74-2.83
Zn: 0.1081 0.5000 0.8919  3 Zn 2.49-2.74, 4 Ag 2.61-2.74
Zn: 0.5000 0.8919 0.1081  3 Zn 2.49-2.74, 4 Ag 2.61-2.74
Zn: 0.1081 0.8919 0.5000  3 Zn 2.49-2.74, 4 Ag 2.61-2.74
Zn: 0.8919 0.5000 0.1081  3 Zn 2.49-2.74, 4 Ag 2.61-2.74
Zn: 0.5000 0.1081 0.8919  3 Zn 2.49-2.74, 4 Ag 2.61-2.74
Zn: 0.6286 0.8741 0.6286  4 Ag 2.70-2.82, 4 Zn 2.74-2.83
Ag: 0.7098 0.2956 0.2956  8 Zn 2.61-2.82
Ag: 0.2956 0.2956 0.7098  8 Zn 2.61-2.82
Ag: 0.2956 0.7098 0.2956  8 Zn 2.61-2.82
Ag: 0.7044 0.7044 0.2902  8 Zn 2.61-2.82
Ag: 0.2902 0.7044 0.7044  8 Zn 2.61-2.82
Ag: 0.7044 0.2902 0.7044  8 Zn 2.61-2.82

---

# 3
Here is a relaxed structure of PdPtPb2 from Alexandria. Energies are from GGA-PBE.

calculated density: 12.73 g cm⁻³
calculated total energy: -4.7475 eV per atom

a = 3.9971 Å, b = 3.9971 Å, c = 7.1317 Å
α = 73.73°, β = 73.73°, γ = 60.00°
With the nearest neighbours (Å) after each atom.
Fractional positions:
Pd: 0.5038 0.5038 0.4887  6 Pb 2.84-2.95
Pt: 0.6640 0.6640 0.0080  6 Pb 2.80-2.85
Pb: 0.0798 0.0798 0.7605  3 Pt 2.85, 3 Pd 2.95
Pb: 0.2524 0.2524 0.2428  3 Pt 2.80, 3 Pd 2.84